# 1
Compound: IrOs2Pt
Source: Alexandria via LeMat-Bulk
Functional: PBEsol
Structure: relaxed

Results
Symmetry ... No. 216
VASP energy ... -9.59 eV/atom

Cell: 4.3640 4.3640 4.3640 Å, 60.00 60.00 60.00°
Each line ends with the local moment (μB).
Sites, in units of the cell vectors:
Ir  0.5000  0.5000  0.5000  0.21
Os  0.0000  0.0000  0.0000  0.29
Os  0.7500  0.7500  0.7500  1.05
Pt  0.2500  0.2500  0.2500  0.14

---

# 2
Compound: NbMoI2Cl
Source: Alexandria via LeMat-Bulk
Functional: PBEsol
Structure: relaxed

Results
Symmetry ... No. 123
VASP energy ... -4.86 eV/atom

Cell: 4.9010 5.2993 5.2993 Å, 90.00 90.00 90.00°
Each line ends with the local moment (μB).
Sites, in units of the cell vectors:
I  0.0000  0.0000  0.5000  -0.01
I  0.0000  0.5000  0.0000  -0.01
Mo  0.0000  0.0000  0.0000  -0.30
Nb  0.5000  0.0000  0.0000  1.32
Cl  0.5000  0.5000  0.5000  -0.03